An optimized crystal structure of TbReB. Source: OQMD via LeMat-Bulk, functional PBE. Values from VASP.

Computed properties:
* total DFT energy (no corrections): -7.4981 eV/atom
* mass density: 11.87 g/cm3
* space-group type: No. 216

Geometry as Quantum ESPRESSO input:
```
&SYSTEM
  ibrav = 0, nat = 3, ntyp = 3
/
ATOMIC_SPECIES
B 10.81 B.upf
Re 186.21 Re.upf
Tb 158.93 Tb.upf
CELL_PARAMETERS angstrom
1.2562 -3.7137 1.2969
-0.7676 -1.2021 3.8752
-2.7671 -2.9773 0.7284
ATOMIC_POSITIONS crystal
B 0.0000 0.0000 0.0000
Re 0.7500 0.7500 0.7500
Tb 0.2500 0.2500 0.2500
```



An optimized crystal structure of TbReB4. Source: OQMD via LeMat-Bulk, functional PBE. Values from VASP.

Computed properties:
* total DFT energy (no corrections): -7.5513 eV/atom
* mass density: 10.69 g/cm3
* offset from the most stable computed form: 324 meV per atom
* space-group type: No. 191

Geometry as Quantum ESPRESSO input:
```
&SYSTEM
  ibrav = 0, nat = 6, ntyp = 3
/
ATOMIC_SPECIES
B 10.81 B.upf
Re 186.21 Re.upf
Tb 158.93 Tb.upf
CELL_PARAMETERS angstrom
3.1407 0.0000 0.0000
-1.5703 2.7199 0.0000
0.0000 0.0000 7.0609
ATOMIC_POSITIONS crystal
B 0.6667 0.3333 0.2765
B 0.3333 0.6667 0.2765
B 0.6667 0.3333 0.7235
B 0.3333 0.6667 0.7235
Re 0.0000 0.0000 0.5000
Tb 0.0000 0.0000 0.0000
```



An optimized crystal structure of Re2TcB. Source: OQMD via LeMat-Bulk, functional PBE. Values from VASP.

Computed properties:
* total DFT energy (no corrections): -9.9178 eV/atom
* mass density: 15.19 g/cm3
* space-group type: No. 216

Geometry as Quantum ESPRESSO input:
```
&SYSTEM
  ibrav = 0, nat = 4, ntyp = 3
/
ATOMIC_SPECIES
B 10.81 B.upf
Re 186.21 Re.upf
Tc 98.00 Tc.upf
CELL_PARAMETERS angstrom
-1.9369 -3.7106 -0.4074
0.1958 -2.8267 3.1077
-3.4238 -0.8475 2.2904
ATOMIC_POSITIONS crystal
B 0.5000 0.5000 0.5000
Re 0.0000 0.0000 0.0000
Re 0.7500 0.7500 0.7500
Tc 0.2500 0.2500 0.2500
```



An optimized crystal structure of ReTcB2. Source: OQMD via LeMat-Bulk, functional PBE. Values from VASP.

Computed properties:
* total DFT energy (no corrections): -7.9904 eV/atom
* mass density: 11.19 g/cm3
* space-group type: No. 216

Geometry as Quantum ESPRESSO input:
```
&SYSTEM
  ibrav = 0, nat = 4, ntyp = 3
/
ATOMIC_SPECIES
B 10.81 B.upf
Re 186.21 Re.upf
Tc 98.00 Tc.upf
CELL_PARAMETERS angstrom
0.0000 2.8308 2.8308
2.8308 0.0000 2.8308
2.8308 2.8308 0.0000
ATOMIC_POSITIONS crystal
B 0.2500 0.2500 0.2500
B 0.5000 0.5000 0.5000
Re 0.7500 0.7500 0.7500
Tc 0.0000 0.0000 0.0000
```